Material: SmTm8Sc3
Method: DFT, PBE
State: relaxed

Values from the calculation:
DFT total energy: -4.559 eV/atom
ΔE_f: 398 meV/atom
SG: Immm (71)
crystal system: orthorhombic

Unit cell a=8.388 b=8.388 c=8.388 alpha=135.91 beta=99.71 gamma=96.49
Positions (direct):
Sm 0.000 0.000 0.000
Tm 0.087 0.252 0.835
Tm 0.271 0.240 0.511
Tm 0.271 0.760 0.031
Tm 0.417 0.252 0.165
Tm 0.583 0.748 0.835
Tm 0.729 0.240 0.969
Tm 0.729 0.760 0.489
Tm 0.913 0.748 0.165
Sc 0.275 0.775 0.500
Sc 0.500 0.500 0.000
Sc 0.725 0.225 0.500

---

Material: Sm2Tm4Sc5
Method: DFT, PBE
State: relaxed

Values from the calculation:
DFT total energy: -5.230 eV/atom
ΔE_f: 132 meV/atom
SG: P2/m (10)
crystal system: monoclinic

Unit cell a=8.522 b=3.440 c=11.451 alpha=90.00 beta=109.61 gamma=90.00
Positions (direct):
Sm 0.130 0.000 0.405
Sm 0.870 0.000 0.595
Tm 0.253 0.500 0.729
Tm 0.262 0.500 0.151
Tm 0.738 0.500 0.849
Tm 0.747 0.500 0.271
Sc 0.088 0.000 0.899
Sc 0.496 0.000 0.627
Sc 0.500 0.000 0.000
Sc 0.504 0.000 0.373
Sc 0.912 0.000 0.101

---

Material: Sm4Tm2Sc
Method: DFT, PBE
State: relaxed

Values from the calculation:
DFT total energy: -4.739 eV/atom
ΔE_f: 139 meV/atom
SG: P2_1/m (11)
crystal system: monoclinic
distance to the lowest polymorph of the same formula: 0.072 eV per atom

Unit cell a=6.113 b=6.554 c=11.370 alpha=90.00 beta=105.05 gamma=90.00
Positions (direct):
Sm 0.047 0.250 0.372
Sm 0.152 0.250 0.945
Sm 0.358 0.510 0.216
Sm 0.358 0.990 0.216
Sm 0.642 0.010 0.784
Sm 0.642 0.490 0.784
Sm 0.848 0.750 0.055
Sm 0.953 0.750 0.628
Tm 0.280 0.750 0.919
Tm 0.386 0.750 0.502
Tm 0.614 0.250 0.498
Tm 0.720 0.250 0.081
Sc 0.148 0.250 0.665
Sc 0.852 0.750 0.335

---

Material: Sm3Tm4Sc4
Method: DFT, PBE
State: relaxed

Values from the calculation:
DFT total energy: -5.063 eV/atom
ΔE_f: 152 meV/atom
SG: Amm2 (38)
crystal system: orthorhombic

Unit cell a=10.128 b=6.477 c=6.477 alpha=49.94 beta=90.00 gamma=90.00
Positions (direct):
Sm 0.000 0.000 0.000
Sm 0.304 0.142 0.142
Sm 0.696 0.142 0.142
Tm 0.000 0.300 0.300
Tm 0.283 0.839 0.839
Tm 0.500 0.372 0.372
Tm 0.717 0.839 0.839
Sc 0.000 0.691 0.691
Sc 0.214 0.503 0.503
Sc 0.500 0.635 0.635
Sc 0.786 0.503 0.503

---

Material: SmTm2Sc
Method: DFT, PBE
State: relaxed

Values from the calculation:
DFT total energy: -4.972 eV/atom
ΔE_f: 27 meV/atom
SG: Cm (8)
crystal system: monoclinic
distance to the lowest polymorph of the same formula: 0.000 eV per atom

Unit cell a=6.057 b=3.496 c=11.343 alpha=90.00 beta=100.25 gamma=90.00
Positions (direct):
Sm 0.000 0.000 0.000
Sm 0.500 0.500 0.000
Tm 0.081 0.500 0.740
Tm 0.423 0.000 0.264
Tm 0.581 0.000 0.740
Tm 0.923 0.500 0.264
Sc 0.335 0.500 0.504
Sc 0.835 0.000 0.504

---

Material: Sm6TmSc
Method: DFT, PBE
State: relaxed

Values from the calculation:
DFT total energy: -4.861 eV/atom
ΔE_f: 29 meV/atom
SG: P4/mmm (123)
crystal system: tetragonal

Unit cell a=5.039 b=5.039 c=10.078 alpha=90.00 beta=90.00 gamma=90.00
Positions (direct):
Sm 0.000 0.000 0.000
Sm 0.000 0.000 0.500
Sm 0.000 0.500 0.246
Sm 0.000 0.500 0.754
Sm 0.500 0.000 0.246
Sm 0.500 0.000 0.754
Tm 0.500 0.500 0.500
Sc 0.500 0.500 0.000

---

Material: Sm3Tm3Sc
Method: DFT, PBE
State: relaxed

Values from the calculation:
DFT total energy: -4.813 eV/atom
ΔE_f: 30 meV/atom
SG: P6_3/m (176)
crystal system: hexagonal
distance to the lowest polymorph of the same formula: 0.000 eV per atom

Unit cell a=9.428 b=9.428 c=5.638 alpha=90.00 beta=90.00 gamma=120.00
Positions (direct):
Sm 0.052 0.806 0.250
Sm 0.194 0.246 0.250
Sm 0.246 0.052 0.750
Sm 0.754 0.948 0.250
Sm 0.806 0.754 0.750
Sm 0.948 0.194 0.750
Tm 0.096 0.616 0.750
Tm 0.384 0.480 0.750
Tm 0.480 0.096 0.250
Tm 0.520 0.904 0.750
Tm 0.616 0.520 0.250
Tm 0.904 0.384 0.250
Sc 0.333 0.667 0.250
Sc 0.667 0.333 0.750

---

Material: Sm2TmSc
Method: DFT, PBE
State: relaxed

Values from the calculation:
DFT total energy: -5.030 eV/atom
ΔE_f: 31 meV/atom
SG: Pmmn (59)
crystal system: orthorhombic
distance to the lowest polymorph of the same formula: 0.000 eV per atom

Unit cell a=5.579 b=7.162 c=6.158 alpha=90.00 beta=90.00 gamma=90.00
Positions (direct):
Sm 0.250 0.002 0.172
Sm 0.250 0.498 0.172
Sm 0.750 0.502 0.828
Sm 0.750 0.998 0.828
Tm 0.250 0.250 0.659
Tm 0.750 0.750 0.341
Sc 0.250 0.750 0.665
Sc 0.750 0.250 0.335

---

Material: Sm4TmSc4
Method: DFT, PBE
State: relaxed

Values from the calculation:
DFT total energy: -5.349 eV/atom
ΔE_f: 59 meV/atom
SG: I4/mmm (139)
crystal system: tetragonal

Unit cell a=7.712 b=7.712 c=7.712 alpha=95.73 beta=95.73 gamma=143.16
Positions (direct):
Sm 0.000 0.327 0.327
Sm 0.000 0.673 0.673
Sm 0.327 0.000 0.327
Sm 0.673 0.000 0.673
Tm 0.000 0.000 0.000
Sc 0.335 0.335 0.670
Sc 0.335 0.665 0.000
Sc 0.665 0.335 0.000
Sc 0.665 0.665 0.330

---

Material: Sm2Tm5Sc4
Method: DFT, PBE
State: relaxed

Values from the calculation:
DFT total energy: -5.065 eV/atom
ΔE_f: 128 meV/atom
SG: P2/m (10)
crystal system: monoclinic
distance to the lowest polymorph of the same formula: 0.000 eV per atom

Unit cell a=8.359 b=3.446 c=11.265 alpha=90.00 beta=97.74 gamma=90.00
Positions (direct):
Sm 0.052 0.000 0.139
Sm 0.948 0.000 0.861
Tm 0.156 0.000 0.635
Tm 0.452 0.000 0.201
Tm 0.500 0.000 0.500
Tm 0.548 0.000 0.799
Tm 0.844 0.000 0.365
Sc 0.190 0.500 0.380
Sc 0.298 0.500 0.953
Sc 0.702 0.500 0.047
Sc 0.810 0.500 0.620